No. 1
The following is a DFT calculation (PBEsol) of CuNiTe after structural relaxation.

Unit cell a=3.828 b=3.828 c=3.827 alpha=90.00 beta=90.00 gamma=120.00
Element x y z (fractional)
Cu (0.000, 0.000, 0.000)
Ni (0.667, 0.333, 0.738)
Te (0.333, 0.667, 0.416)

Properties
The energy comes out at -4.46 eV per atom. As for the total magnetic moment: 0.0 μB per cell.

---

No. 2
The following is a DFT calculation (PBEsol) of Cu2NiTe after structural relaxation.

Unit cell a=3.836 b=3.837 c=4.623 alpha=114.41 beta=114.22 gamma=90.22
Element x y z (fractional)
Cu (0.000, 0.000, 0.000)
Cu (0.249, 0.750, 0.500)
Ni (0.750, 0.250, 0.500)
Te (0.501, 0.500, 0.000)

Properties
The energy comes out at -4.47 eV per atom. As for the total magnetic moment: 0.0 μB per cell.

---

No. 3
The following is a DFT calculation (PBEsol) of CuNiTe2 after structural relaxation.

Unit cell a=7.917 b=7.917 c=7.917 alpha=27.19 beta=27.19 gamma=27.19
Element x y z (fractional)
Cu (0.000, 0.000, 0.000)
Ni (0.500, 0.500, 0.500)
Te (0.107, 0.107, 0.107)
Te (0.893, 0.893, 0.893)

Properties
The energy comes out at -4.30 eV per atom. As for the total magnetic moment: 0.0 μB per cell.

---

No. 4
The following is a DFT calculation (PBEsol) of CuNiTe after structural relaxation.

Unit cell a=4.086 b=4.086 c=4.086 alpha=60.00 beta=60.00 gamma=60.00
Element x y z (fractional)
Cu (0.000, 0.000, 0.000)
Ni (0.750, 0.750, 0.750)
Te (0.500, 0.500, 0.500)

Properties
The energy comes out at -4.76 eV per atom. As for the total magnetic moment: 0.0 μB per cell.

---

No. 5
The following is a DFT calculation (PBEsol) of Ti2CuNi2 after structural relaxation.

Unit cell a=6.628 b=6.628 c=2.964 alpha=90.00 beta=90.00 gamma=90.00
Element x y z (fractional)
Ti (0.173, 0.327, 0.000)
Ti (0.327, 0.827, 0.000)
Ti (0.673, 0.173, 0.000)
Ti (0.827, 0.673, 0.000)
Cu (0.000, 0.000, 0.500)
Cu (0.500, 0.500, 0.500)
Ni (0.129, 0.629, 0.500)
Ni (0.371, 0.129, 0.500)
Ni (0.629, 0.871, 0.500)
Ni (0.871, 0.371, 0.500)

Properties
The energy comes out at -6.95 eV per atom. The calculation puts the formation enthalpy at 0 K at -0.295 eV per atom. As for the total magnetic moment: 0.0 μB per cell.

---

No. 6
The following is a DFT calculation (PBEsol) of Ti8Cu3Ni after structural relaxation.

Unit cell a=2.914 b=2.914 c=20.686 alpha=90.00 beta=90.00 gamma=90.00
Element x y z (fractional)
Ti (0.000, 0.000, 0.075)
Ti (0.000, 0.000, 0.418)
Ti (0.000, 0.000, 0.582)
Ti (0.000, 0.000, 0.925)
Ti (0.500, 0.500, 0.164)
Ti (0.500, 0.500, 0.328)
Ti (0.500, 0.500, 0.672)
Ti (0.500, 0.500, 0.836)
Cu (0.000, 0.000, 0.246)
Cu (0.000, 0.000, 0.754)
Cu (0.500, 0.500, 0.500)
Ni (0.500, 0.500, 0.000)

Properties
The energy comes out at -7.30 eV per atom. The calculation puts the formation enthalpy at 0 K at -0.160 eV per atom. As for the total magnetic moment: 0.0 μB per cell.

---

No. 7
The following is a DFT calculation (PBEsol) of TlCuNi after structural relaxation.

Unit cell a=4.121 b=4.121 c=4.121 alpha=60.00 beta=60.00 gamma=60.00
Element x y z (fractional)
Tl (0.000, 0.000, 0.000)
Cu (0.750, 0.750, 0.750)
Ni (0.500, 0.500, 0.500)

Properties
The energy comes out at -3.94 eV per atom. The calculation puts the formation enthalpy at 0 K at 0.431 eV per atom. As for the total magnetic moment: 0.0 μB per cell.

---

No. 8
The following is a DFT calculation (PBEsol) of TlCu2Ni after structural relaxation.

Unit cell a=2.915 b=3.220 c=5.885 alpha=90.00 beta=90.00 gamma=90.00
Element x y z (fractional)
Tl (0.000, 0.000, 0.000)
Cu (0.000, 0.000, 0.511)
Cu (0.500, 0.500, 0.304)
Ni (0.500, 0.500, 0.724)

Properties
The energy comes out at -4.14 eV per atom. The calculation puts the formation enthalpy at 0 K at 0.223 eV per atom. As for the total magnetic moment: 0.0 μB per cell.